Computed, not measured: LaAgSb2 after structural relaxation at the GGA-PBEsol level of DFT.

Cell: 3.9969 4.4130 6.3154 Å, 90.00 90.10 90.00°
With the nearest neighbours (Å) after each atom.
Space group P2/m (No. 10)
Symmetry-distinct sites (fractional):
La 0.0000 0.0000 0.0000 [1 per cell]  8 Sb 3.34, 4 Ag 3.73-3.74
Ag 0.5000 0.0000 0.5000 [1 per cell]  4 Sb 2.75
Sb 0.4986 0.5000 0.7598 [2 per cell]  2 Ag 2.75, 1 Sb 3.03

Raw formation energy ... -0.49 eV per atom
Mass density ... 7.3 g/cm³
Magnetic moment ... 0.0 μB/cell
VASP energy ... -4.934 eV/atom
Crystal system ... monoclinic
Polymorph energy (0 for the lowest one) ... 0.285 eV/atom